# 1
{
  "formula": "KAlPb",
  "functional": "PBE",
  "state": "optimized geometry",
  "lattice": [[4.724, 0.000, 0.000], [-2.362, 4.091, 0.000], [0.000, 0.000, 11.226]],
  "species": ["K", "K", "Al", "Al", "Pb", "Pb"],
  "fractional_positions": [[0.000, 0.000, 0.000], [0.000, 0.000, 0.500], [0.333, 0.667, 0.250], [0.667, 0.333, 0.750], [0.333, 0.667, 0.750], [0.667, 0.333, 0.250]],
  "delta_e_f_ev_per_atom": 0.006
}

# 2
{
  "formula": "AgAsIr2",
  "functional": "PBE",
  "state": "optimized geometry",
  "lattice": [[2.849, 0.000, 0.000], [0.000, 4.705, 0.000], [0.000, 0.000, 4.782]],
  "species": ["Ag", "As", "Ir", "Ir"],
  "fractional_positions": [[0.000, 0.000, 0.000], [0.500, 0.000, 0.500], [0.000, 0.500, 0.500], [0.500, 0.500, 0.000]],
  "delta_e_f_ev_per_atom": 0.470
}

# 3
{
  "formula": "BaTcC2",
  "functional": "PBE",
  "state": "optimized geometry",
  "lattice": [[0.000, 3.116, 3.116], [3.116, 0.000, 3.116], [3.116, 3.116, 0.000]],
  "species": ["Ba", "Tc", "C", "C"],
  "fractional_positions": [[0.000, 0.000, 0.000], [0.500, 0.500, 0.500], [0.250, 0.250, 0.250], [0.750, 0.750, 0.750]],
  "relative_energy_ev_per_atom": 1.819,
  "delta_e_f_ev_per_atom": 2.144
}

# 4
{
  "formula": "Ac2SeO",
  "functional": "PBE",
  "state": "optimized geometry",
  "lattice": [[2.027, 1.170, 7.076], [-2.027, 1.170, 7.076], [0.000, -2.340, 7.076]],
  "species": ["Ac", "Ac", "Se", "O"],
  "fractional_positions": [[0.235, 0.235, 0.235], [0.765, 0.765, 0.765], [0.000, 0.000, 0.000], [0.500, 0.500, 0.500]],
  "e_form_raw_ev_per_atom": -2.1572,
  "relative_energy_ev_per_atom": 0.000
}

# 5
{
  "formula": "MgIrPb2",
  "functional": "PBE",
  "state": "optimized geometry",
  "lattice": [[-2.175, 2.175, 4.651], [2.175, -2.175, 4.651], [2.175, 2.175, -4.651]],
  "species": ["Mg", "Ir", "Pb", "Pb"],
  "fractional_positions": [[0.000, 0.000, 0.000], [0.750, 0.250, 0.500], [0.250, 0.750, 0.500], [0.500, 0.500, 0.000]],
  "delta_e_f_ev_per_atom": 0.269
}

Number 1: magnetization 0.0 μB per formula unit. Number 2: magnetization 0.0 μB per formula unit. Number 3: magnetization 1.2 μB per formula unit. Number 4: magnetization 0.0 μB per formula unit. Number 5: magnetization 0.0 μB per formula unit.